Below is crystalline CuSe3I at its relaxed geometry, with properties calculated at the PBE-GGA level.

Results
* magnetization: 0.00 Bohr magnetons per cell
* formation energy (no corrections): 46.6 kJ/mol of atoms
* space group: Pm-3m, No. 221

POSCAR file:
```
CuSe3I
1.0
4.870 0.000 0.000
0.000 4.870 0.000
0.000 0.000 4.870
Se I Cu
3 1 1
Cartesian
0.000 2.435 0.000 Se
2.435 0.000 0.000 Se
0.000 0.000 2.435 Se
2.435 2.435 2.435 I
0.000 0.000 0.000 Cu
```